Record 1
ZrHRh3: relaxed, PBE-GGA.

```
ZrHRh3
1.0
7.354 0.000 0.000
0.000 4.624 0.000
-7.351 0.000 7.837
Zr H Rh
4 4 12
direct
0.103 0.201 0.168 Zr
0.103 0.299 0.668 Zr
0.897 0.701 0.332 Zr
0.897 0.799 0.832 Zr
0.110 0.709 0.133 H
0.110 0.791 0.633 H
0.890 0.209 0.367 H
0.890 0.291 0.867 H
0.215 0.188 0.466 Rh
0.215 0.312 0.966 Rh
0.314 0.680 0.369 Rh
0.314 0.820 0.869 Rh
0.397 0.681 0.659 Rh
0.397 0.819 0.159 Rh
0.603 0.181 0.841 Rh
0.603 0.319 0.341 Rh
0.686 0.180 0.131 Rh
0.686 0.320 0.631 Rh
0.785 0.688 0.034 Rh
0.785 0.812 0.534 Rh
```

Electronic total energy = -7.253 eV/atom

***

Record 2
ZrHRh3: relaxed, PBE-GGA.

```
ZrHRh3
1.0
4.850 0.000 0.000
0.000 4.850 0.000
0.000 0.000 4.850
Zr H Rh
1 1 3
direct
0.000 0.000 0.000 Zr
0.500 0.500 0.500 H
0.000 0.000 0.500 Rh
0.000 0.500 0.000 Rh
0.500 0.000 0.000 Rh
```

Electronic total energy = -5.216 eV/atom

***

Record 3
ZrH3Rh: relaxed, PBE-GGA.

```
ZrH3Rh
1.0
1.533 -5.818 0.000
1.533 5.818 0.000
0.000 0.000 4.869
Zr H Rh
2 6 2
direct
0.160 0.840 0.750 Zr
0.840 0.160 0.250 Zr
0.084 0.084 0.000 H
0.312 0.687 0.976 H
0.313 0.688 0.524 H
0.687 0.312 0.024 H
0.688 0.313 0.476 H
0.916 0.916 0.500 H
0.438 0.562 0.750 Rh
0.562 0.438 0.250 Rh
```

Electronic total energy = -5.620 eV/atom

***

Record 4
ZrHRh3: relaxed, PBE-GGA.

```
ZrHRh3
1.0
2.811 -2.811 0.000
2.811 2.811 0.000
0.000 0.000 8.167
Zr H Rh
2 2 6
direct
0.000 0.000 0.000 Zr
0.000 0.000 0.485 Zr
0.035 0.035 0.742 H
0.500 0.500 0.241 H
0.001 0.500 0.243 Rh
0.500 0.001 0.243 Rh
0.501 0.501 0.494 Rh
0.501 0.501 0.991 Rh
0.504 0.999 0.742 Rh
0.999 0.504 0.742 Rh
```

Electronic total energy = -7.382 eV/atom